{
  "formula": "NiAg2Pd6",
  "functional": "PBE-GGA",
  "state": "optimized geometry",
  "crystal_system": "orthorhombic",
  "space_group": "No. 69",
  "n_ef_per_ev_atom": 1.604,
  "m_tot_mub_per_cell": 1.9,
  "e_form_ev_per_atom": 0.0396,
  "lattice_angstrom": [[0.000, 5.939, 5.962], [1.974, 0.000, 5.962], [1.974, 5.939, 0.000]],
  "species": ["Ni", "Ag", "Ag", "Pd", "Pd", "Pd", "Pd", "Pd", "Pd"],
  "frac_coords": [[0.000, 0.000, 0.000], [0.336, 0.664, 0.336], [0.664, 0.336, 0.664], [0.004, 0.331, 0.669], [0.331, 0.004, 0.996], [0.336, 0.336, 0.664], [0.664, 0.664, 0.336], [0.669, 0.996, 0.004], [0.996, 0.669, 0.331]]
}